Material: ScW4S2
Method: DFT, GGA-PBE
State: optimized geometry

As for the calculated volume: 18.82 Å³/atom. Its electronic total energy is -7.548 eV per atom. For the uncorrected formation energy, the calculation gives 1.938 eV/atom.

The space group is I4/mmm (No. 139) and the conventional cell measures 4.610, 4.610 and 12.398 Å, with angles of 90.00, 90.00 and 90.00 degrees. The asymmetric unit holds Sc at (0.000, 0.000, 0.000), W at (0.000, 0.000, 0.209), W at (0.000, 0.500, 0.000) and S at (0.000, 0.000, 0.394).